# PmCuH6Ir

An optimized crystal structure of PmCuH6Ir (PBE, Alexandria via LeMat-Bulk).

Cell lengths 4.6316, 4.6316, 4.3397 Å; angles 90.00, 90.00, 120.00 degrees
Element x y z (fractional)
Pm (0.0000, 0.0000, 0.0000)
Cu (0.3333, 0.6667, 0.5000)
H (0.5057, 0.0114, 0.2366)
H (0.5057, 0.0114, 0.7634)
H (0.5057, 0.4943, 0.2366)
H (0.5057, 0.4943, 0.7634)
H (0.9886, 0.4943, 0.2366)
H (0.9886, 0.4943, 0.7634)
Ir (0.6667, 0.3333, 0.5000)

SG: P-6m2 (187)
D(E_F) in states/eV/cell: 1.16
Energy in eV/atom: -4.51

# AcPmPaN3

An optimized crystal structure of AcPmPaN3 (PBE, Alexandria via LeMat-Bulk).

Cell lengths 6.1698, 3.6379, 9.5559 Å; angles 90.00, 102.11, 90.00 degrees
Element x y z (fractional)
Ac (0.1476, 0.2500, 0.1881)
Ac (0.8524, 0.7500, 0.8119)
Pm (0.3617, 0.2500, 0.8587)
Pm (0.6383, 0.7500, 0.1413)
Pa (0.2639, 0.7500, 0.5437)
Pa (0.7361, 0.2500, 0.4563)
N (0.0486, 0.2500, 0.6292)
N (0.2528, 0.7500, 0.0083)
N (0.4681, 0.7500, 0.3723)
N (0.5319, 0.2500, 0.6277)
N (0.7472, 0.2500, 0.9917)
N (0.9514, 0.7500, 0.3708)

Formation energy without anion corrections in eV per atom: -1.3264
SG: P2_1/m (11)
D(E_F) in states/eV/cell: 4.25

# NaTl2Se3

An optimized crystal structure of NaTl2Se3 (PBE, Alexandria via LeMat-Bulk).

Cell lengths 11.7988, 11.7988, 7.6441 Å; angles 103.00, 103.00, 21.35 degrees
Element x y z (fractional)
Na (0.1730, 0.1730, 0.4523)
Na (0.8270, 0.8270, 0.5477)
Tl (0.1812, 0.1812, 0.9278)
Tl (0.4747, 0.4747, 0.2662)
Tl (0.5253, 0.5253, 0.7338)
Tl (0.8188, 0.8188, 0.0722)
Se (0.0564, 0.0564, 0.9698)
Se (0.2737, 0.2737, 0.2694)
Se (0.4132, 0.4132, 0.5354)
Se (0.5868, 0.5868, 0.4646)
Se (0.7263, 0.7263, 0.7306)
Se (0.9436, 0.9436, 0.0302)

Formation energy without anion corrections in eV per atom: -0.4059
SG: C2/m (12)
D(E_F) in states/eV/cell: 3.42
Relative energy among the computed polymorphs in meV/atom: 0

# MgCr2Ag

An optimized crystal structure of MgCr2Ag (PBE, Alexandria via LeMat-Bulk).

Cell lengths 5.2589, 5.2589, 2.6170 Å; angles 96.89, 96.89, 123.29 degrees
Element x y z (fractional)
Mg (0.0000, 0.0000, 0.0000)
Cr (0.0000, 0.5000, 0.5000)
Cr (0.5000, 0.0000, 0.5000)
Ag (0.5000, 0.5000, 0.0000)

SG: C2/m (12)
D(E_F) in states/eV/cell: 5.28
Calculated formation energy in kJ/mol of formula units: 235

# Sm2ZrTl

An optimized crystal structure of Sm2ZrTl (PBE, Alexandria via LeMat-Bulk).

Cell lengths 3.4523, 3.4523, 9.5647 Å; angles 90.00, 90.00, 90.00 degrees
Element x y z (fractional)
Sm (0.0000, 0.0000, 0.2494)
Sm (0.0000, 0.0000, 0.7506)
Zr (0.5000, 0.5000, 0.5000)
Tl (0.5000, 0.5000, 0.0000)

SG: P4/mmm (123)
D(E_F) in states/eV/cell: 5.05
Calculated formation energy in kJ/mol of formula units: -32
Relative energy among the computed polymorphs in meV/atom: 0

# NdRePd

An optimized crystal structure of NdRePd (PBE, Alexandria via LeMat-Bulk).

Cell lengths 3.4700, 3.4700, 10.4035 Å; angles 90.00, 90.00, 90.00 degrees
Element x y z (fractional)
Nd (0.0000, 0.0000, 0.1860)
Nd (0.0000, 0.0000, 0.8140)
Re (0.5000, 0.5000, 0.3854)
Re (0.5000, 0.5000, 0.6146)
Pd (0.0000, 0.0000, 0.5000)
Pd (0.5000, 0.5000, 0.0000)

SG: P4/mmm (123)
D(E_F) in states/eV/cell: 3.68
Calculated formation energy in kJ/mol of formula units: 36

# GaTeIr2

An optimized crystal structure of GaTeIr2 (PBE, Alexandria via LeMat-Bulk).

Cell lengths 4.5660, 4.5660, 4.5660 Å; angles 60.00, 60.00, 60.00 degrees
Element x y z (fractional)
Ga (0.0000, 0.0000, 0.0000)
Te (0.5000, 0.5000, 0.5000)
Ir (0.2500, 0.2500, 0.2500)
Ir (0.7500, 0.7500, 0.7500)

Formation energy without anion corrections in eV per atom: 0.2665
SG: Fm-3m (225)
D(E_F) in states/eV/cell: 3.50
Relative energy among the computed polymorphs in meV/atom: 0

# CaCdSe3

An optimized crystal structure of CaCdSe3 (PBE, Alexandria via LeMat-Bulk).

Cell lengths 5.4723, 5.4723, 5.4723 Å; angles 90.00, 90.00, 90.00 degrees
Element x y z (fractional)
Ca (0.0000, 0.0000, 0.0000)
Cd (0.5000, 0.5000, 0.5000)
Se (0.0000, 0.0000, 0.5000)
Se (0.0000, 0.5000, 0.0000)
Se (0.5000, 0.0000, 0.0000)

Formation energy without anion corrections in eV per atom: -0.0117
SG: Pm-3m (221)
D(E_F) in states/eV/cell: 4.96
Relative energy among the computed polymorphs in meV/atom: 355

# Cs3LaPm2S6

An optimized crystal structure of Cs3LaPm2S6 (PBE, Alexandria via LeMat-Bulk).

Cell lengths 7.3842, 7.3842, 8.4535 Å; angles 98.37, 98.37, 120.00 degrees
Element x y z (fractional)
Cs (0.0000, 0.0000, 0.0000)
Cs (0.3336, 0.6664, 0.0000)
Cs (0.6664, 0.3336, 0.0000)
La (0.5000, 0.5000, 0.5000)
Pm (0.1667, 0.8333, 0.5000)
Pm (0.8333, 0.1667, 0.5000)
S (0.0992, 0.4380, 0.3141)
S (0.2231, 0.2231, 0.6856)
S (0.4380, 0.0992, 0.3141)
S (0.5620, 0.9008, 0.6859)
S (0.7769, 0.7769, 0.3144)
S (0.9008, 0.5620, 0.6859)

Formation energy without anion corrections in eV per atom: -1.8408
SG: C2/m (12)
D(E_F) in states/eV/cell: 0.00

# AgMo2Cl

An optimized crystal structure of AgMo2Cl (PBE, Alexandria via LeMat-Bulk).

Cell lengths 5.5582, 5.5582, 5.5582 Å; angles 140.20, 140.20, 57.55 degrees
Element x y z (fractional)
Ag (0.0000, 0.0000, 0.0000)
Mo (0.2500, 0.7500, 0.5000)
Mo (0.7500, 0.2500, 0.5000)
Cl (0.5000, 0.5000, 0.0000)

Formation energy without anion corrections in eV per atom: 1.0127
SG: I4/mmm (139)
D(E_F) in states/eV/cell: 3.84
Relative energy among the computed polymorphs in meV/atom: 820

# Pm8InPt2

An optimized crystal structure of Pm8InPt2 (PBE, Alexandria via LeMat-Bulk).

Cell lengths 8.2326, 8.2326, 5.6337 Å; angles 97.96, 97.96, 114.69 degrees
Element x y z (fractional)
Pm (0.0787, 0.3264, 0.5682)
Pm (0.2467, 0.7533, 0.0000)
Pm (0.3264, 0.0787, 0.5682)
Pm (0.3934, 0.3934, 0.1929)
Pm (0.6066, 0.6066, 0.8071)
Pm (0.6736, 0.9213, 0.4318)
Pm (0.7533, 0.2467, 0.0000)
Pm (0.9213, 0.6736, 0.4318)
In (0.0000, 0.0000, 0.0000)
Pt (0.3030, 0.6970, 0.5000)
Pt (0.6970, 0.3030, 0.5000)

SG: C2/m (12)
D(E_F) in states/eV/cell: 13.42
Calculated formation energy in kJ/mol of formula units: -482

# YB4Ir2Os

An optimized crystal structure of YB4Ir2Os (PBE, Alexandria via LeMat-Bulk).

Cell lengths 8.4365, 8.4365, 8.4365 Å; angles 25.29, 25.29, 25.29 degrees
Element x y z (fractional)
Y (0.0000, 0.0000, 0.0000)
B (0.1268, 0.1268, 0.1268)
B (0.4057, 0.4057, 0.4057)
B (0.5943, 0.5943, 0.5943)
B (0.8732, 0.8732, 0.8732)
Ir (0.2407, 0.2407, 0.2407)
Ir (0.7593, 0.7593, 0.7593)
Os (0.5000, 0.5000, 0.5000)

SG: R-3m (166)
D(E_F) in states/eV/cell: 2.53
Calculated formation energy in kJ/mol of formula units: -111